Record 1
## KLaOs2 (SCAN)

Data for a PBEsol-optimized structure of KLaOs2.

Lattice parameters (Å, degrees): 3.962 3.962 7.163 90.00 90.00 90.00
Space group P4/mmm (No. 123)
One atom of each set of equivalent atoms:
K (0.000, 0.000, 0.000)
La (0.000, 0.000, 0.500)
Os (0.500, 0.500, 0.341)

crystal system	tetragonal
offset from the most stable computed form	0	meV/atom
magnetic moment	1.5	μB per formula unit

=====

Record 2
## KLa3P (SCAN)

Data for a PBEsol-optimized structure of KLa3P.

Lattice parameters (Å, degrees): 5.744 5.744 5.744 90.00 90.00 90.00
Space group Pm-3m (No. 221)
One atom of each set of equivalent atoms:
K (0.000, 0.000, 0.000)
La (0.000, 0.500, 0.500)
P (0.500, 0.500, 0.500)

crystal system	cubic
calculated total energy	-29.981	eV per atom
magnetic moment	2.3	μB per formula unit

=====

Record 3
## KLaP2S6 (SCAN)

Data for a PBEsol-optimized structure of KLaP2S6.

Lattice parameters (Å, degrees): 11.917 7.508 11.236 90.00 109.53 90.00
Space group P2_1/c (No. 14)
One atom of each set of equivalent atoms:
K (0.129, 0.092, 0.371)
La (0.351, 0.607, 0.597)
P (0.210, 0.619, 0.267)
P (0.330, 0.102, 0.753)
S (0.116, 0.524, 0.371)
S (0.128, 0.705, 0.088)
S (0.223, 0.213, 0.141)
S (0.327, 0.691, 0.861)
S (0.412, 0.187, 0.933)
S (0.447, 0.519, 0.182)

crystal system	monoclinic
E_form (uncorrected)	-1.209	eV/atom
magnetic moment	0.0	μB per formula unit

=====

Record 4
## K8LaP4Se16 (SCAN)

Data for a PBEsol-optimized structure of K8LaP4Se16.

Lattice parameters (Å, degrees): 8.978 10.324 18.703 90.00 90.00 90.00
Space group I222 (No. 23)
One atom of each set of equivalent atoms:
K (0.000, 0.000, 0.205)
K (0.000, 0.500, 0.245)
K (0.117, 0.254, 0.586)
La (0.000, 0.500, 0.000)
P (0.209, 0.256, 0.875)
Se (0.035, 0.280, 0.110)
Se (0.197, 0.074, 0.431)
Se (0.202, 0.423, 0.424)
Se (0.227, 0.247, 0.261)

crystal system	orthorhombic
E_form (uncorrected)	-0.965	eV/atom
magnetic moment	0.0	μB per formula unit